(1)
VASP calculation (PBE) on CeLu2In after structural relaxation.

a b c (Å): 3.4811 3.4811 9.0811
angles (deg): 90.00 90.00 90.00
Space group P4/mmm (No. 123)
Inequivalent atoms, fractional coordinates:
Ce  0.0000  0.0000  0.0000 x1
Lu  0.5000  0.5000  0.2690 x2
In  0.0000  0.0000  0.5000 x1

Properties
Energy above the most stable polymorph in this dataset = 0.03 eV per formula unit
Fermi-level density of states = 1.545 states/eV per atom
Calculated volume = 27.5 Å³ per atom



(2)
VASP calculation (PBE) on SbPt2Br after structural relaxation.

a b c (Å): 6.7813 6.7813 6.7813
angles (deg): 90.00 90.00 90.00
Space group Fm-3m (No. 225)
Inequivalent atoms, fractional coordinates:
Sb  0.0000  0.0000  0.0000 x4
Pt  0.2500  0.2500  0.2500 x8
Br  0.0000  0.0000  0.5000 x4

Properties
Energy relative to the elements, uncorrected = 0.310 eV/atom
Energy above the most stable polymorph in this dataset = 1.80 eV per formula unit
Fermi-level density of states = 0.276 states/eV per atom
Calculated volume = 19.5 Å³ per atom



no.,total magnetization (μB per formula unit)
1,0.6
2,0.0